The following is a GGA-PBE calculation of a relaxed Zr4TiPb5O15 crystal, from the Alexandria database.

## Properties
- ΔE_f (raw) (eV/atom) = -2.401
- VASP energy (eV for the cell shown) = -195.03

Cell: 4.2392 4.2392 20.7679 Å, 89.33 89.33 88.81°
Closest atoms and distances in Å follow each position.
Element x y z (fractional)
O1 0.4338 0.9262 0.6894  1 Ti 1.84
O2 0.4266 0.4266 0.1913  2 Zr 2.07-2.20
O3 0.9525 0.4259 0.0845  2 Zr 2.05-2.22
O4 0.4259 0.9525 0.0845  2 Zr 2.05-2.22
O5 0.4254 0.4254 0.3953  2 Zr 2.07-2.19
O6 0.9262 0.4338 0.6894  1 Ti 1.84
O7 0.4210 0.4210 0.5994  1 Ti 2.02, 1 Zr 2.08
O8 0.4275 0.4275 0.9873  2 Zr 2.06-2.20
O9 0.9496 0.4234 0.4925  2 Zr 2.05-2.22
O10 0.4246 0.4246 0.7827  1 Ti 1.89
O11 0.4234 0.9496 0.4925  2 Zr 2.05-2.22
O12 0.9516 0.4248 0.2887  2 Zr 2.05-2.22
O13 0.4248 0.9516 0.2887  2 Zr 2.05-2.22
O14 0.9523 0.4276 0.8808  2 Zr 2.05-2.22
O15 0.4276 0.9523 0.8808  2 Zr 2.05-2.22
Zr1 0.4716 0.4716 0.0922  6 O 2.05-2.22
Zr2 0.4687 0.4687 0.5000  6 O 2.05-2.22
Zr3 0.4709 0.4709 0.2961  6 O 2.05-2.22
Zr4 0.4710 0.4710 0.8884  6 O 2.05-2.22
Pb1 0.0286 0.0286 0.0000  3 O 2.43-2.46
Pb2 0.0232 0.0232 0.6102  3 O 2.42-2.44
Pb3 0.0271 0.0271 0.7954  3 O 2.42-2.48
Pb4 0.0286 0.0286 0.2040  3 O 2.42-2.46
Pb5 0.0271 0.0271 0.4077  3 O 2.42-2.46
Ti1 0.4954 0.4954 0.6939  4 O 1.84-2.02